A relaxed structure of Cs4Sb2F, computed with PBE.

Uncorrected formation energy ... -0.630 eV per atom
Density of states at the Fermi level ... 5.38 states/eV/f.u.
Crystal system ... tetragonal

a = 5.886 Å, b = 5.886 Å, c = 11.049 Å
α = 74.55°, β = 74.55°, γ = 90.00°
Element x y z (fractional)
Sb (0.873, 0.873, 0.254)
Sb (0.127, 0.127, 0.746)
Cs (0.500, 0.000, 0.000)
Cs (0.687, 0.687, 0.626)
Cs (0.000, 0.500, 0.000)
Cs (0.313, 0.313, 0.374)
F (0.000, 0.000, 0.000)

=====

A relaxed structure of V3SiPb, computed with PBE.

Uncorrected formation energy ... 0.568 eV per atom
Density of states at the Fermi level ... 4.82 states/eV/f.u.
Crystal system ... cubic

a = 4.512 Å, b = 4.512 Å, c = 4.512 Å
α = 90.00°, β = 90.00°, γ = 90.00°
Element x y z (fractional)
Si (0.000, 0.000, 0.000)
Pb (0.500, 0.500, 0.500)
V (0.500, 0.000, 0.000)
V (0.000, 0.000, 0.500)
V (0.000, 0.500, 0.000)